## 1
# Ti2MnCoH

A relaxed structure of Ti2MnCoH (PBE-GGA, Alexandria).

a b c (Å): 4.1440 4.1440 3.2168
angles (deg): 90.00 90.00 90.00
Last column: nearest neighbours and their distance in Å.
Atoms (fractional coordinates):
H  0.0000  0.0000  0.0000  2 Mn 1.61
Mn  0.0000  0.0000  0.5000  2 H 1.61
Co  0.5000  0.5000  0.5000  8 Ti 2.62, 4 Mn 2.93
Ti  0.0000  0.5000  0.0000  2 H 2.07
Ti  0.5000  0.0000  0.0000  2 H 2.07

Properties
- D(E_F): 2.60 states/eV/cell

***

## 2
# Ti2MnCoH

A relaxed structure of Ti2MnCoH (PBE-GGA, Alexandria).

a b c (Å): 4.1513 4.1513 3.1889
angles (deg): 90.00 90.00 90.00
Last column: nearest neighbours and their distance in Å.
Atoms (fractional coordinates):
H  0.0000  0.0000  0.0000  2 Co 1.59
Mn  0.5000  0.5000  0.5000  8 Ti 2.62
Co  0.0000  0.0000  0.5000  2 H 1.59
Ti  0.0000  0.5000  0.0000  2 H 2.08
Ti  0.5000  0.0000  0.0000  2 H 2.08

Properties
- D(E_F): 2.40 states/eV/cell

***

Which structure wins on stability? 2 wins.